{"formula": "PaNi2H4", "functional": "PBE", "state": "optimized geometry", "cell": [[4.3330, -0.0624, 0.6302], [1.5569, 3.3225, 0.6324], [-0.8062, -0.3827, 3.9883]], "species": ["Ni", "H", "H", "Pa", "H", "H", "Ni"], "fractional_positions": [[0.7046, 0.6474, 0.4381], [0.3565, 0.3215, 0.9638], [0.2971, 0.8515, 0.5168], [0.0000, 0.0000, 0.0000], [0.6435, 0.6784, 0.0362], [0.7029, 0.1485, 0.4832], [0.2954, 0.3526, 0.5619]], "rho_g_cm3": 9.72, "dos_at_fermi_per_ev_atom": 0.372, "energy_ev_per_atom": -5.23, "spacegroup": "No. 12"}